Entry 1:
Here is a relaxed structure of Dy2HoZr from Alexandria via LeMat-Bulk. Energies are from PBE.

Properties
energy relative to the elements	0.84	eV/f.u.
calculated volume	468.5	Å³ per cell
distance to the lowest polymorph of the same formula	136.6	meV per atom
total moment	11.120	μB per cell

Cell lengths 7.7667, 7.7667, 7.7667 Å; angles 90.00, 90.00, 90.00 degrees
Closest atoms and distances in Å follow each position.
Space group Fm-3m (No. 225)
One atom of each set of equivalent atoms:
Dy 0.2500 0.2500 0.2500 x8  4 Zr 3.36, 4 Ho 3.36
Ho 0.0000 0.0000 0.0000 x4  8 Dy 3.36
Zr 0.0000 0.0000 0.5000 x4  8 Dy 3.36


Entry 2:
Here is a relaxed structure of BaSrH from Alexandria via LeMat-Bulk. Energies are from PBE.

Properties
calculated volume	241.8	Å³ per cell
distance to the lowest polymorph of the same formula	0.0	meV per atom
total moment	0.000	μB per cell

Cell lengths 4.4676, 4.4676, 12.1146 Å; angles 90.00, 90.00, 90.00 degrees
Closest atoms and distances in Å follow each position.
Space group P4/nmm (No. 129, origin choice 2)
One atom of each set of equivalent atoms:
Ba 0.2500 0.2500 0.1150 x2  4 H 2.63
Sr 0.2500 0.2500 0.6160 x2  8 Sr 4.23-4.47, 4 Ba 4.54
H 0.2500 0.7500 0.0000 x2  4 Ba 2.63


Entry 3:
Here is a relaxed structure of RbVSb from Alexandria via LeMat-Bulk. Energies are from PBE.

Properties
calculated volume	202.2	Å³ per cell
distance to the lowest polymorph of the same formula	83.0	meV per atom
total moment	0.083	μB per cell
energy relative to the elements, uncorrected	22	meV per atom

Cell lengths 3.5069, 4.7021, 13.2434 Å; angles 86.76, 87.00, 68.14 degrees
Closest atoms and distances in Å follow each position.
Space group P1 (No. 1)
One atom of each set of equivalent atoms:
Rb 0.0000 0.0000 0.0000 x1  2 Rb 3.51, 3 Sb 3.67-3.73
Rb 0.4104 0.4398 0.3402 x1  2 Rb 3.51, 3 Sb 3.56-3.62
V 0.6160 0.8748 0.7290 x1  2 V 2.56, 4 Sb 2.60-2.73
V 0.9576 0.2258 0.6442 x1  2 V 2.56, 4 Sb 2.84-2.86
Sb 0.3243 0.4323 0.7961 x1  5 V 2.62-2.84
Sb 0.6690 0.8466 0.5333 x1  3 V 2.60-2.86


Entry 4:
Here is a relaxed structure of RhCl3 from Alexandria via LeMat-Bulk. Energies are from PBE.

Properties
calculated volume	80.6	Å³ per cell
total moment	4.039	μB per cell
energy relative to the elements, uncorrected	805	meV per atom

Cell lengths 4.3195, 4.3195, 4.3195 Å; angles 90.00, 90.00, 90.00 degrees
Closest atoms and distances in Å follow each position.
Space group Pm-3m (No. 221)
One atom of each set of equivalent atoms:
Rh 0.0000 0.0000 0.0000 x1  12 Cl 3.05
Cl 0.0000 0.5000 0.5000 x3  8 Cl 3.05, 4 Rh 3.05


Entry 5:
Here is a relaxed structure of Hf4SnGe from Alexandria via LeMat-Bulk. Energies are from PBE.

Properties
energy relative to the elements	-2.41	eV/f.u.
calculated volume	505.3	Å³ per cell
distance to the lowest polymorph of the same formula	60.4	meV per atom
total moment	0.000	μB per cell

Cell lengths 7.7782, 12.4385, 5.5747 Å; angles 90.00, 110.47, 90.00 degrees
Closest atoms and distances in Å follow each position.
Space group C2/c (No. 15)
One atom of each set of equivalent atoms:
Hf 0.0955 0.1875 0.0541 x8  2 Ge 2.80-2.81, 2 Sn 2.99-3.10, 4 Hf 3.04-3.11
Hf 0.2052 0.4013 0.3579 x8  2 Ge 2.83-2.85, 2 Sn 2.99-3.13, 3 Hf 2.99-3.11
Sn 0.0000 0.3909 0.7500 x4  10 Hf 2.99-3.20
Ge 0.0000 0.0023 0.7500 x4  2 Ge 2.79, 8 Hf 2.80-2.85


Entry 6:
Here is a relaxed structure of RbHoP from Alexandria via LeMat-Bulk. Energies are from PBE.

Properties
energy relative to the elements	-1.64	eV/f.u.
calculated volume	121.4	Å³ per cell
total moment	0.000	μB per cell

Cell lengths 4.2649, 4.2649, 7.7094 Å; angles 90.00, 90.00, 120.00 degrees
Closest atoms and distances in Å follow each position.
Space group P3m1 (No. 156)
One atom of each set of equivalent atoms:
Rb 0.0000 0.0000 0.0000 x1  3 P 3.48
Ho 0.3333 0.6667 0.4572 x1  3 P 2.68
P 0.6667 0.3333 0.3199 x1  3 Ho 2.68


Entry 7:
Here is a relaxed structure of Li2SmBi from Alexandria via LeMat-Bulk. Energies are from PBE.

Properties
energy relative to the elements	-1.76	eV/f.u.
calculated volume	101.3	Å³ per cell
distance to the lowest polymorph of the same formula	0.0	meV per atom
total moment	0.000	μB per cell

Cell lengths 4.5297, 4.5297, 4.9354 Å; angles 90.00, 90.00, 90.00 degrees
Closest atoms and distances in Å follow each position.
Space group P4/mmm (No. 123)
One atom of each set of equivalent atoms:
Li 0.0000 0.5000 0.0000 x2  4 Li 3.20, 4 Bi 3.35, 4 Sm 3.35
Sm 0.0000 0.0000 0.5000 x1  4 Bi 3.20, 8 Li 3.35
Bi 0.5000 0.5000 0.5000 x1  4 Sm 3.20, 8 Li 3.35


Entry 8:
Here is a relaxed structure of Dy2Y3Tm6 from Alexandria via LeMat-Bulk. Energies are from PBE.

Properties
energy relative to the elements	0.97	eV/f.u.
calculated volume	343.3	Å³ per cell
distance to the lowest polymorph of the same formula	0.0	meV per atom
total moment	0.000	μB per cell

Cell lengths 5.9826, 8.2908, 8.3261 Å; angles 104.93, 108.63, 107.55 degrees
Closest atoms and distances in Å follow each position.
Space group P-1 (No. 2)
One atom of each set of equivalent atoms:
Dy 0.1721 0.3109 0.3632 x2  7 Tm 3.36-3.68, 4 Y 3.45-3.75, 1 Dy 3.69
Y 0.0000 0.5000 0.0000 x1  4 Tm 3.24-3.42, 2 Y 3.42
Y 0.2927 0.7772 0.4587 x2  7 Tm 3.38-3.75, 2 Y 3.42-3.51, 3 Dy 3.45-3.53
Tm 0.2328 0.1453 0.7381 x2  6 Tm 3.37-3.68, 3 Y 3.38-3.68, 2 Dy 3.52-3.68
Tm 0.2622 0.9577 0.0862 x2  7 Tm 3.37-3.72, 3 Y 3.42-3.75, 2 Dy 3.42-3.53
Tm 0.3802 0.5955 0.8019 x2  2 Y 3.24-3.53, 3 Dy 3.36-3.55, 3 Tm 3.37-3.43


Q: Number 6 is which compound?
A: RbHoP